DFT (PBE) results for crystalline Zr2AgSb at its relaxed geometry.

Values from the calculation:
uncorrected energy: -6.258 eV per atom

Lattice parameters (Å, degrees): 5.069 3.222 5.258 85.23 90.00 90.00
Fractional coordinates of all 4 atoms:
Ag: 0.000 0.604 0.435
Sb: 0.500 0.634 0.808
Zr: 0.000 0.074 0.941
Zr: 0.500 0.188 0.316

DFT (PBE) results for crystalline Er3Cd2In at its relaxed geometry.

Values from the calculation:
distance to the lowest polymorph of the same formula: 0.000 eV per atom
ΔH_f (0 K): -0.366 eV per atom
uncorrected energy: -3.409 eV per atom

Lattice parameters (Å, degrees): 3.708 5.264 8.331 108.42 90.00 90.00
Fractional coordinates of all 6 atoms:
Er: 0.500 0.500 0.000
Er: 0.500 0.832 0.665
Er: 0.500 0.168 0.335
Cd: 0.000 0.331 0.662
Cd: 0.000 0.669 0.338
In: 0.000 0.000 0.000

DFT (PBE) results for crystalline Mg2PtCl at its relaxed geometry.

Values from the calculation:
distance to the lowest polymorph of the same formula: 0.933 eV per atom
uncorrected energy: -2.831 eV per atom

Lattice parameters (Å, degrees): 4.772 4.772 4.772 60.00 60.00 60.00
Fractional coordinates of all 4 atoms:
Cl: 0.500 0.500 0.500
Mg: 0.000 0.000 0.000
Mg: 0.250 0.250 0.250
Pt: 0.750 0.750 0.750

DFT (PBE) results for crystalline Cd2NiBr at its relaxed geometry.

Values from the calculation:
distance to the lowest polymorph of the same formula: 0.123 eV per atom
uncorrected energy: -2.222 eV per atom

Lattice parameters (Å, degrees): 8.369 8.369 8.369 24.35 24.35 24.35
Site moments in Bohr magnetons follow the coordinates.
Fractional coordinates of all 4 atoms:
Br: 0.772 0.772 0.772  0.08
Cd: 0.997 0.997 0.997  0.01
Cd: 0.235 0.235 0.235  0.01
Ni: 0.496 0.496 0.496  0.48